Density functional theory data (PBE-GGA) for an optimized crystal structure of RbSr2Re.

Geometry as POSCAR:
```
RbSr2Re
1.0
0.000 4.104 4.104
4.104 0.000 4.104
4.104 4.104 0.000
Rb Sr Re
1 2 1
Cartesian
0.000 0.000 0.000
2.052 2.052 2.052
6.156 6.156 6.156
4.104 4.104 4.104
```

Results
The calculation puts the energy of formation at 1157.2 meV/atom.



Density functional theory data (PBE-GGA) for an optimized crystal structure of Rb2SrRe.

Geometry as POSCAR:
```
Rb2SrRe
1.0
0.000 4.359 4.359
4.359 0.000 4.359
4.359 4.359 0.000
Rb Sr Re
2 1 1
Cartesian
2.180 2.180 2.180
6.539 6.539 6.539
0.000 0.000 0.000
4.359 4.359 4.359
```

Results
The calculation puts the energy of formation at 1585.9 meV/atom.



Density functional theory data (PBE-GGA) for an optimized crystal structure of Rb2SrRe.

Geometry as POSCAR:
```
Rb2SrRe
1.0
-2.470 2.470 13.830
2.470 -2.470 13.830
2.470 2.470 -13.830
Rb Sr Re
4 2 2
Cartesian
3.705 1.144 -3.458
1.144 1.235 3.458
-1.235 1.326 10.373
1.326 1.235 17.288
2.470 0.000 6.915
0.000 0.000 13.830
0.000 0.000 0.000
0.000 2.470 6.915
```

Results
The calculation puts the energy of formation at 1509.8 meV/atom.



Density functional theory data (PBE-GGA) for an optimized crystal structure of RbSr2Re.

Geometry as POSCAR:
```
RbSr2Re
1.0
-4.339 4.339 6.157
4.339 -4.339 6.157
4.339 4.339 -6.157
Rb Sr Re
2 4 2
Cartesian
4.339 2.170 1.539
0.000 2.170 4.618
0.000 0.000 0.000
2.170 2.170 -3.079
2.170 -2.170 3.079
0.000 4.339 0.000
4.339 -2.170 4.618
0.000 6.509 1.539
```

Results
The calculation puts the energy of formation at 1339.4 meV/atom.



Density functional theory data (PBE-GGA) for an optimized crystal structure of Rb3SrRe.

Geometry as POSCAR:
```
Rb3SrRe
1.0
8.176 0.000 0.000
0.000 8.176 0.000
0.000 0.000 8.176
Rb Sr Re
3 1 1
Cartesian
0.000 0.000 4.088
0.000 4.088 0.000
4.088 0.000 0.000
0.000 0.000 0.000
4.088 4.088 4.088
```

Results
The calculation puts the energy of formation at 1824.6 meV/atom.



Density functional theory data (PBE-GGA) for an optimized crystal structure of RbSrRe3.

Geometry as POSCAR:
```
RbSrRe3
1.0
4.908 0.000 0.000
0.000 4.908 0.000
0.000 0.000 4.908
Rb Sr Re
1 1 3
Cartesian
0.000 0.000 0.000
2.454 2.454 2.454
0.000 0.000 2.454
0.000 2.454 0.000
2.454 0.000 0.000
```

Results
The calculation puts the energy of formation at 3551.9 meV/atom.



| no. | density (g/cm3) | total energy (eV/cell) |
| --- | --- | --- |
| 1 | 5.4 | -12.15 |
| 2 | 4.5 | -9.72 |
| 3 | 4.4 | -20.05 |
| 4 | 3.2 | -22.84 |
| 5 | 1.6 | -7.91 |
| 6 | 10.3 | -22.23 |